Entry 1:
SrHg | PBE | optimized geometry

```
data_SrHg
_chemical_formula_sum 'Sr6 Hg6'
_cell_length_a 9.7329
_cell_length_b 9.7329
_cell_length_c 5.3292
_cell_angle_alpha 90.00
_cell_angle_beta 90.00
_cell_angle_gamma 120.00
_space_group_name_H-M_alt 'P 63/m m c'
_space_group_IT_number 194
_space_group_name_Hall '-P 6c 2c'
loop_
_atom_site_label
_atom_site_type_symbol
_atom_site_fract_x
_atom_site_fract_y
_atom_site_fract_z
Sr1 Sr 0.1885 0.3770 0.2500
Hg1 Hg 0.1193 0.5597 0.7500
```

Calculated values
* E: -1.39 eV per atom
* theoretical density: 6.6 g/cm3
* ΔH_f (0 K): -396 meV per atom
* crystal system: hexagonal

Entry 2:
SrHg7 | PBE | optimized geometry

```
data_SrHg7
_chemical_formula_sum 'Sr4 Hg28'
_cell_length_a 9.695
_cell_length_b 9.695
_cell_length_c 9.695
_cell_angle_alpha 90.00
_cell_angle_beta 90.00
_cell_angle_gamma 90.00
_space_group_name_H-M_alt 'F m -3 m'
_space_group_IT_number 225
_space_group_name_Hall '-F 4 2 3'
loop_
_atom_site_label
_atom_site_type_symbol
_atom_site_fract_x
_atom_site_fract_y
_atom_site_fract_z
Sr1 Sr 0.000 0.000 0.000
Hg1 Hg 0.000 0.000 0.500
Hg2 Hg 0.000 0.250 0.250
```

Calculated values
* E: -0.65 eV per atom
* theoretical density: 10.9 g/cm3
* ΔH_f (0 K): -181 meV per atom
* energy above the most stable polymorph in this dataset: 0.037 eV/atom
* crystal system: cubic

Copy entry 1 word for word.
SrHg | PBE | optimized geometry

```
data_SrHg
_chemical_formula_sum 'Sr6 Hg6'
_cell_length_a 9.7329
_cell_length_b 9.7329
_cell_length_c 5.3292
_cell_angle_alpha 90.00
_cell_angle_beta 90.00
_cell_angle_gamma 120.00
_space_group_name_H-M_alt 'P 63/m m c'
_space_group_IT_number 194
_space_group_name_Hall '-P 6c 2c'
loop_
_atom_site_label
_atom_site_type_symbol
_atom_site_fract_x
_atom_site_fract_y
_atom_site_fract_z
Sr1 Sr 0.1885 0.3770 0.2500
Hg1 Hg 0.1193 0.5597 0.7500
```

Calculated values
* E: -1.39 eV per atom
* theoretical density: 6.6 g/cm3
* ΔH_f (0 K): -396 meV per atom
* crystal system: hexagonal